Density functional theory data (GGA-PBEsol) for crystalline CuHgTe2 at its relaxed geometry.

The uncorrected formation energy comes out at 40.7 kJ per mole of atoms.

It has space group Fm-3m (No. 225), with a = 7.1187 Å, b = 7.1187 Å, c = 7.1187 Å, α = 90.00°, β = 90.00° and γ = 90.00°. The distinct sites, in fractional coordinates, are Cu at (0.0000, 0.0000, 0.0000), Hg at (0.0000, 0.0000, 0.5000) and Te at (0.2500, 0.2500, 0.2500).